[1]
# PBE Tm2Pd, relaxed
data_Tm2Pd
_symmetry_space_group_name_H-M 'P 1'
_symmetry_Int_Tables_number 1
_cell_length_a 8.5587
_cell_length_b 8.5587
_cell_length_c 8.5587
_cell_angle_alpha 60.00
_cell_angle_beta 60.00
_cell_angle_gamma 60.00
loop_
_symmetry_equiv_pos_as_xyz
'x,y,z'
loop_
_atom_site_label
_atom_site_type_symbol
_atom_site_fract_x
_atom_site_fract_y
_atom_site_fract_z
Pd1 Pd 0.2500 0.2500 0.2500
Pd2 Pd 0.5000 0.5000 0.5000
Tm1 Tm 0.3750 0.3750 0.3750
Tm2 Tm 0.3750 0.8750 0.3750
Tm3 Tm 0.8750 0.3750 0.3750
Tm4 Tm 0.3750 0.3750 0.8750
# symmetry: Fd-3m, No. 227
# ΔH_f (0 K): 0.8206 eV per atom
# calculated total energy: -3.89 eV/atom
# total magnetic moment: 0.01 Bohr magnetons per cell

***

[2]
# PBE TmPd, relaxed
data_TmPd
_symmetry_space_group_name_H-M 'P 1'
_symmetry_Int_Tables_number 1
_cell_length_a 3.6150
_cell_length_b 3.6150
_cell_length_c 3.8867
_cell_angle_alpha 90.00
_cell_angle_beta 90.00
_cell_angle_gamma 120.00
loop_
_symmetry_equiv_pos_as_xyz
'x,y,z'
loop_
_atom_site_label
_atom_site_type_symbol
_atom_site_fract_x
_atom_site_fract_y
_atom_site_fract_z
Pd1 Pd 0.6667 0.3333 0.7500
Tm1 Tm 0.3333 0.6667 0.2500
# symmetry: P-6m2, No. 187
# ΔH_f (0 K): -0.6891 eV per atom
# calculated total energy: -5.51 eV/atom
# total magnetic moment: 0.00 Bohr magnetons per cell

***

[3]
# PBE TmPd, relaxed
data_TmPd
_symmetry_space_group_name_H-M 'P 1'
_symmetry_Int_Tables_number 1
_cell_length_a 3.4472
_cell_length_b 3.4472
_cell_length_c 3.4472
_cell_angle_alpha 90.00
_cell_angle_beta 90.00
_cell_angle_gamma 90.00
loop_
_symmetry_equiv_pos_as_xyz
'x,y,z'
loop_
_atom_site_label
_atom_site_type_symbol
_atom_site_fract_x
_atom_site_fract_y
_atom_site_fract_z
Pd1 Pd 0.0000 0.0000 0.0000
Tm1 Tm 0.5000 0.5000 0.5000
# symmetry: Pm-3m, No. 221
# ΔH_f (0 K): -0.9488 eV per atom
# calculated total energy: -5.77 eV/atom
# total magnetic moment: 0.00 Bohr magnetons per cell

***

[4]
# PBE Tm2Pd, relaxed
data_Tm2Pd
_symmetry_space_group_name_H-M 'P 1'
_symmetry_Int_Tables_number 1
_cell_length_a 5.8995
_cell_length_b 5.8995
_cell_length_c 5.8995
_cell_angle_alpha 60.00
_cell_angle_beta 60.00
_cell_angle_gamma 60.00
loop_
_symmetry_equiv_pos_as_xyz
'x,y,z'
loop_
_atom_site_label
_atom_site_type_symbol
_atom_site_fract_x
_atom_site_fract_y
_atom_site_fract_z
Pd1 Pd 0.0000 0.0000 0.0000
Pd2 Pd 0.2500 0.2500 0.2500
Tm1 Tm 0.6250 0.6250 0.1250
Tm2 Tm 0.6250 0.1250 0.6250
Tm3 Tm 0.1250 0.6250 0.6250
Tm4 Tm 0.6250 0.6250 0.6250
# symmetry: Fd-3m, No. 227
# ΔH_f (0 K): 0.3653 eV per atom
# calculated total energy: -4.34 eV/atom
# total magnetic moment: 0.02 Bohr magnetons per cell

***

[5]
# PBE Tm3Pd4, relaxed
data_Tm3Pd4
_symmetry_space_group_name_H-M 'P 1'
_symmetry_Int_Tables_number 1
_cell_length_a 7.7345
_cell_length_b 7.7345
_cell_length_c 7.7345
_cell_angle_alpha 114.17
_cell_angle_beta 114.17
_cell_angle_gamma 114.17
loop_
_symmetry_equiv_pos_as_xyz
'x,y,z'
loop_
_atom_site_label
_atom_site_type_symbol
_atom_site_fract_x
_atom_site_fract_y
_atom_site_fract_z
Pd1 Pd 0.0000 0.0000 0.0000
Pd2 Pd 0.2320 0.5499 0.0670
Pd3 Pd 0.5499 0.0670 0.2320
Pd4 Pd 0.9330 0.7680 0.4501
Pd5 Pd 0.5000 0.5000 0.5000
Pd6 Pd 0.0670 0.2320 0.5499
Pd7 Pd 0.4501 0.9330 0.7680
Pd8 Pd 0.7680 0.4501 0.9330
Tm1 Tm 0.4041 0.2738 0.0220
Tm2 Tm 0.0220 0.4041 0.2738
Tm3 Tm 0.2738 0.0220 0.4041
Tm4 Tm 0.7262 0.9780 0.5959
Tm5 Tm 0.9780 0.5959 0.7262
Tm6 Tm 0.5959 0.7262 0.9780
# symmetry: R-3, No. 148
# ΔH_f (0 K): -0.9828 eV per atom
# calculated total energy: -5.86 eV/atom
# total magnetic moment: 0.01 Bohr magnetons per cell

***

[6]
# PBE Tm3Pd7, relaxed
data_Tm3Pd7
_symmetry_space_group_name_H-M 'P 1'
_symmetry_Int_Tables_number 1
_cell_length_a 7.8618
_cell_length_b 7.8618
_cell_length_c 5.7727
_cell_angle_alpha 103.93
_cell_angle_beta 103.93
_cell_angle_gamma 30.81
loop_
_symmetry_equiv_pos_as_xyz
'x,y,z'
loop_
_atom_site_label
_atom_site_type_symbol
_atom_site_fract_x
_atom_site_fract_y
_atom_site_fract_z
Pd1 Pd 0.2003 0.2003 0.1253
Pd2 Pd 0.4021 0.4021 0.1850
Pd3 Pd 0.6017 0.6017 0.3177
Pd4 Pd 0.0000 0.0000 0.5000
Pd5 Pd 0.3983 0.3983 0.6823
Pd6 Pd 0.5979 0.5979 0.8150
Pd7 Pd 0.7997 0.7997 0.8747
Tm1 Tm 0.0000 0.0000 0.0000
Tm2 Tm 0.8119 0.8119 0.3681
Tm3 Tm 0.1881 0.1881 0.6319
# symmetry: C2/m, No. 12
# ΔH_f (0 K): -0.9443 eV per atom
# calculated total energy: -5.91 eV/atom
# total magnetic moment: 0.00 Bohr magnetons per cell

***

[7]
# PBE TmPd, relaxed
data_TmPd
_symmetry_space_group_name_H-M 'P 1'
_symmetry_Int_Tables_number 1
_cell_length_a 3.8766
_cell_length_b 3.8766
_cell_length_c 6.9894
_cell_angle_alpha 90.00
_cell_angle_beta 90.00
_cell_angle_gamma 120.00
loop_
_symmetry_equiv_pos_as_xyz
'x,y,z'
loop_
_atom_site_label
_atom_site_type_symbol
_atom_site_fract_x
_atom_site_fract_y
_atom_site_fract_z
Pd1 Pd 0.6667 0.3333 0.2500
Pd2 Pd 0.3333 0.6667 0.7500
Tm1 Tm 0.0000 0.0000 0.0000
Tm2 Tm 0.0000 0.0000 0.5000
# symmetry: P6_3/mmc, No. 194
# ΔH_f (0 K): -0.7281 eV per atom
# calculated total energy: -5.55 eV/atom
# total magnetic moment: 0.02 Bohr magnetons per cell

***

[8]
# PBE Tm2Pd, relaxed
data_Tm2Pd
_symmetry_space_group_name_H-M 'P 1'
_symmetry_Int_Tables_number 1
_cell_length_a 4.7985
_cell_length_b 4.7985
_cell_length_c 4.7985
_cell_angle_alpha 60.00
_cell_angle_beta 60.00
_cell_angle_gamma 60.00
loop_
_symmetry_equiv_pos_as_xyz
'x,y,z'
loop_
_atom_site_label
_atom_site_type_symbol
_atom_site_fract_x
_atom_site_fract_y
_atom_site_fract_z
Pd1 Pd 0.0000 0.0000 0.0000
Tm1 Tm 0.2500 0.2500 0.2500
Tm2 Tm 0.7500 0.7500 0.7500
# symmetry: Fm-3m, No. 225
# ΔH_f (0 K): -0.5248 eV per atom
# calculated total energy: -5.23 eV/atom
# total magnetic moment: 0.02 Bohr magnetons per cell

***

[9]
# PBE Tm3Pd, relaxed
data_Tm3Pd
_symmetry_space_group_name_H-M 'P 1'
_symmetry_Int_Tables_number 1
_cell_length_a 6.8999
_cell_length_b 9.4730
_cell_length_c 6.3757
_cell_angle_alpha 90.00
_cell_angle_beta 90.00
_cell_angle_gamma 90.00
loop_
_symmetry_equiv_pos_as_xyz
'x,y,z'
loop_
_atom_site_label
_atom_site_type_symbol
_atom_site_fract_x
_atom_site_fract_y
_atom_site_fract_z
Pd1 Pd 0.8932 0.7500 0.0522
Pd2 Pd 0.3932 0.7500 0.4478
Pd3 Pd 0.6068 0.2500 0.5522
Pd4 Pd 0.1068 0.2500 0.9478
Tm1 Tm 0.4787 0.2500 0.1265
Tm2 Tm 0.1830 0.5580 0.1788
Tm3 Tm 0.1830 0.9420 0.1788
Tm4 Tm 0.6830 0.5580 0.3212
Tm5 Tm 0.6830 0.9420 0.3212
Tm6 Tm 0.9787 0.2500 0.3735
Tm7 Tm 0.0213 0.7500 0.6265
Tm8 Tm 0.3170 0.0580 0.6788
Tm9 Tm 0.3170 0.4420 0.6788
Tm10 Tm 0.8170 0.0580 0.8212
Tm11 Tm 0.8170 0.4420 0.8212
Tm12 Tm 0.5213 0.7500 0.8735
# symmetry: Pnma, No. 62
# ΔH_f (0 K): -0.4970 eV per atom
# calculated total energy: -5.15 eV/atom
# total magnetic moment: 0.16 Bohr magnetons per cell

***

[10]
# PBE TmPdW, relaxed
data_TmPdW
_symmetry_space_group_name_H-M 'P 1'
_symmetry_Int_Tables_number 1
_cell_length_a 4.5055
_cell_length_b 4.5055
_cell_length_c 4.5055
_cell_angle_alpha 60.00
_cell_angle_beta 60.00
_cell_angle_gamma 60.00
loop_
_symmetry_equiv_pos_as_xyz
'x,y,z'
loop_
_atom_site_label
_atom_site_type_symbol
_atom_site_fract_x
_atom_site_fract_y
_atom_site_fract_z
Pd1 Pd 0.0000 0.0000 0.0000
Tm1 Tm 0.2500 0.2500 0.2500
W1 W 0.7500 0.7500 0.7500
# symmetry: F-43m, No. 216
# ΔH_f (0 K): 0.5423 eV per atom
# calculated total energy: -6.99 eV/atom
# offset from the most stable computed form: 0.00 eV per formula unit
# total magnetic moment: 0.07 Bohr magnetons per cell

***

[11]
# PBE TmPdW, relaxed
data_TmPdW
_symmetry_space_group_name_H-M 'P 1'
_symmetry_Int_Tables_number 1
_cell_length_a 4.5785
_cell_length_b 4.5785
_cell_length_c 4.5785
_cell_angle_alpha 60.00
_cell_angle_beta 60.00
_cell_angle_gamma 60.00
loop_
_symmetry_equiv_pos_as_xyz
'x,y,z'
loop_
_atom_site_label
_atom_site_type_symbol
_atom_site_fract_x
_atom_site_fract_y
_atom_site_fract_z
Pd1 Pd 0.2500 0.2500 0.2500
Tm1 Tm 0.0000 0.0000 0.0000
W1 W 0.7500 0.7500 0.7500
# symmetry: F-43m, No. 216
# ΔH_f (0 K): 1.1770 eV per atom
# calculated total energy: -6.36 eV/atom
# offset from the most stable computed form: 1.90 eV per formula unit
# total magnetic moment: 2.87 Bohr magnetons per cell

***

[12]
# PBE YTm3Pd4, relaxed
data_YTm3Pd4
_symmetry_space_group_name_H-M 'P 1'
_symmetry_Int_Tables_number 1
_cell_length_a 5.5503
_cell_length_b 4.5449
_cell_length_c 6.8526
_cell_angle_alpha 90.00
_cell_angle_beta 90.44
_cell_angle_gamma 90.00
loop_
_symmetry_equiv_pos_as_xyz
'x,y,z'
loop_
_atom_site_label
_atom_site_type_symbol
_atom_site_fract_x
_atom_site_fract_y
_atom_site_fract_z
Pd1 Pd 0.3419 0.5000 0.0446
Pd2 Pd 0.8479 0.0000 0.4513
Pd3 Pd 0.1549 0.5000 0.5385
Pd4 Pd 0.6552 0.0000 0.9661
Tm1 Tm 0.8571 0.5000 0.1817
Tm2 Tm 0.3558 0.0000 0.3172
Tm3 Tm 0.1429 0.0000 0.8178
Y1 Y 0.6443 0.5000 0.6828
# symmetry: Pm, No. 6
# ΔH_f (0 K): -0.9533 eV per atom
# calculated total energy: -6.03 eV/atom
# total magnetic moment: 0.01 Bohr magnetons per cell